PBE KSrV, relaxed; crystal system = orthorhombic; SG = No. 62; calculated formation energy = 0.72 eV/atom
1.0
6.569 0.000 0.000
0.000 3.994 0.000
0.000 0.000 19.111
Sr K V
4 4 4
Cartesian
5.867 0.999 8.005
0.702 2.996 11.106
2.583 0.999 1.550
3.986 2.996 17.561
3.928 0.999 12.965
0.643 0.999 15.702
5.926 2.996 3.410
2.641 2.996 6.146
3.709 2.996 9.619
6.144 0.999 0.063
2.860 0.999 9.492
0.425 2.996 19.048

---

PBE CaPdSeCl2, relaxed; energy relative to the elements, uncorrected = -0.088 eV/atom; crystal system = tetragonal; SG = No. 123
1.0
5.150 0.000 0.000
0.000 5.545 0.000
0.000 0.000 5.150
Cl Se Ca Pd
2 1 1 1
Cartesian
2.575 0.000 0.000
0.000 0.000 2.575
0.000 0.000 0.000
0.000 2.773 0.000
2.575 2.773 2.575

---

PBE Ca2AlRe, relaxed; crystal system = tetragonal; SG = No. 119; calculated formation energy = 0.45 eV/atom
1.0
-2.166 4.114 1.528
-4.288 -1.647 -1.689
2.586 -2.711 3.149
Al Ca Re
1 2 1
Cartesian
-1.404 1.318 2.298
0.000 0.000 0.000
-2.465 -1.562 0.690
-3.227 1.234 -0.081

---

| no. | VASP energy (eV/cell) |
| --- | --- |
| 1 | -39.0 |
| 2 | -14.8 |
| 3 | -18.4 |